Below is an optimized crystal structure of Ta5Fe24, with properties calculated at the GGA-PBEsol level.

```
data_Ta5Fe24
_cell_length_a 8.765
_cell_length_b 8.765
_cell_length_c 8.765
_cell_angle_alpha 90.00
_cell_angle_beta 90.00
_cell_angle_gamma 90.00
_space_group_name_H-M_alt 'I -4 3 m'
_space_group_IT_number 217
_space_group_name_Hall 'I -4 2 3'
loop_
_atom_site_label
_atom_site_type_symbol
_atom_site_fract_x
_atom_site_fract_y
_atom_site_fract_z
_atom_site_occupancy
Ta1 Ta 0.000 0.000 0.000 1
Ta2 Ta 0.190 0.190 0.810 1
Fe1 Fe 0.035 0.363 0.363 1
Fe2 Fe 0.092 0.092 0.282 1
```

Properties
Total DFT energy (no corrections) (eV per atom): -9.6349
Energy of formation from the pure elements (eV/atom): -0.053
D(E_F) (states/eV/atom): 1.5168

Below is an optimized crystal structure of TaFe, with properties calculated at the GGA-PBEsol level.

```
data_TaFe
_cell_length_a 3.579
_cell_length_b 3.579
_cell_length_c 8.651
_cell_angle_alpha 90.00
_cell_angle_beta 90.00
_cell_angle_gamma 90.00
_space_group_name_H-M_alt 'I 41/a m d'
_space_group_IT_number 141
loop_
_space_group_symop_operation_xyz
'x,y,z'
'-x,-y,-z'
'-y+1/4,x+3/4,z+1/4'
'y+1/4,-x+3/4,-z+1/4'
'-x+1/2,-y,z+1/2'
'x+1/2,y,-z+1/2'
'y+1/4,-x+1/4,z+3/4'
'-y+1/4,x+1/4,-z+3/4'
'x,-y,-z'
'-x,y,z'
'-y+1/4,-x+1/4,-z+3/4'
'y+1/4,x+1/4,z+3/4'
'-x+1/2,y,-z+1/2'
'x+1/2,-y,z+1/2'
'y+1/4,x+3/4,-z+1/4'
'-y+1/4,-x+3/4,z+1/4'
'x+1/2,y+1/2,z+1/2'
'-x+1/2,-y+1/2,-z+1/2'
'-y+3/4,x+1/4,z+3/4'
'y+3/4,-x+1/4,-z+3/4'
'-x,-y+1/2,z'
'x,y+1/2,-z'
'y+3/4,-x+3/4,z+1/4'
'-y+3/4,x+3/4,-z+1/4'
'x+1/2,-y+1/2,-z+1/2'
'-x+1/2,y+1/2,z+1/2'
'-y+3/4,-x+3/4,-z+1/4'
'y+3/4,x+3/4,z+1/4'
'-x,y+1/2,-z'
'x,-y+1/2,z'
'y+3/4,x+1/4,-z+3/4'
'-y+3/4,-x+1/4,z+3/4'
loop_
_atom_site_label
_atom_site_type_symbol
_atom_site_fract_x
_atom_site_fract_y
_atom_site_fract_z
_atom_site_occupancy
Ta1 Ta 0.000 0.250 0.375 1
Fe1 Fe 0.000 0.250 0.875 1
```

Properties
Total DFT energy (no corrections) (eV per atom): -10.7227
Energy of formation from the pure elements (eV/atom): 0.035
D(E_F) (states/eV/atom): 1.3320

Below is an optimized crystal structure of Ta4Fe3, with properties calculated at the GGA-PBEsol level.

```
data_Ta4Fe3
_cell_length_a 4.8317
_cell_length_b 4.8317
_cell_length_c 5.0038
_cell_angle_alpha 90.00
_cell_angle_beta 90.00
_cell_angle_gamma 120.00
_space_group_name_H-M_alt 'P 6/m m m'
_space_group_IT_number 191
_space_group_name_Hall '-P 6 2'
loop_
_atom_site_label
_atom_site_type_symbol
_atom_site_fract_x
_atom_site_fract_y
_atom_site_fract_z
_atom_site_occupancy
Ta1 Ta 0.0000 0.0000 0.2490 1
Ta2 Ta 0.3333 0.6667 0.5000 1
Fe1 Fe 0.0000 0.5000 0.0000 1
```

Properties
Total DFT energy (no corrections) (eV per atom): -11.1833
Energy of formation from the pure elements (eV/atom): -0.170
Energy above the most stable polymorph in this dataset (eV/atom): 0.0000
D(E_F) (states/eV/atom): 0.7377

Below is an optimized crystal structure of Ta5Fe3, with properties calculated at the GGA-PBEsol level.

```
data_Ta5Fe3
_cell_length_a 9.713
_cell_length_b 9.713
_cell_length_c 5.036
_cell_angle_alpha 90.00
_cell_angle_beta 90.00
_cell_angle_gamma 90.00
_space_group_name_H-M_alt 'I 4/m c m'
_space_group_IT_number 140
_space_group_name_Hall '-I 4 2c'
loop_
_atom_site_label
_atom_site_type_symbol
_atom_site_fract_x
_atom_site_fract_y
_atom_site_fract_z
_atom_site_occupancy
Ta1 Ta 0.000 0.500 0.250 1
Ta2 Ta 0.077 0.215 0.000 1
Fe1 Fe 0.000 0.000 0.250 1
Fe2 Fe 0.172 0.328 0.500 1
```

Properties
Total DFT energy (no corrections) (eV per atom): -11.2966
Energy of formation from the pure elements (eV/atom): -0.091
Energy above the most stable polymorph in this dataset (eV/atom): 0.0048
D(E_F) (states/eV/atom): 0.8760

Below is an optimized crystal structure of TaFeTc2, with properties calculated at the GGA-PBEsol level.

```
data_TaFeTc2
_cell_length_a 2.7318
_cell_length_b 2.7318
_cell_length_c 26.4749
_cell_angle_alpha 90.00
_cell_angle_beta 90.00
_cell_angle_gamma 120.00
_space_group_name_H-M_alt 'R 3 m'
_space_group_IT_number 160
_space_group_name_Hall 'R 3 -2"'
loop_
_atom_site_label
_atom_site_type_symbol
_atom_site_fract_x
_atom_site_fract_y
_atom_site_fract_z
_atom_site_occupancy
Ta1 Ta 0.0000 0.0000 0.0000 1
Fe1 Fe 0.0000 0.0000 0.7508 1
Tc1 Tc 0.0000 0.0000 0.2412 1
Tc2 Tc 0.0000 0.0000 0.4948 1
```

Properties
Total DFT energy (no corrections) (eV per atom): -10.8118
Energy of formation from the pure elements (eV/atom): 0.200
D(E_F) (states/eV/atom): 1.0696

Below is an optimized crystal structure of Ta2FeTc, with properties calculated at the GGA-PBEsol level.

```
data_Ta2FeTc
_cell_length_a 3.111
_cell_length_b 3.111
_cell_length_c 6.110
_cell_angle_alpha 90.00
_cell_angle_beta 90.00
_cell_angle_gamma 90.00
_space_group_name_H-M_alt 'P 4/m m m'
_space_group_IT_number 123
_space_group_name_Hall '-P 4 2'
loop_
_atom_site_label
_atom_site_type_symbol
_atom_site_fract_x
_atom_site_fract_y
_atom_site_fract_z
_atom_site_occupancy
Ta1 Ta 0.000 0.000 0.243 1
Fe1 Fe 0.500 0.500 0.000 1
Tc1 Tc 0.500 0.500 0.500 1
```

Properties
Total DFT energy (no corrections) (eV per atom): -11.6299
Energy of formation from the pure elements (eV/atom): -0.297
D(E_F) (states/eV/atom): 0.6076

Below is an optimized crystal structure of Ta2FeTc, with properties calculated at the GGA-PBEsol level.

```
data_Ta2FeTc
_cell_length_a 3.197
_cell_length_b 4.504
_cell_length_c 8.327
_cell_angle_alpha 90.00
_cell_angle_beta 90.00
_cell_angle_gamma 90.00
_space_group_name_H-M_alt 'I m m m'
_space_group_IT_number 71
_space_group_name_Hall '-I 2 2'
loop_
_atom_site_label
_atom_site_type_symbol
_atom_site_fract_x
_atom_site_fract_y
_atom_site_fract_z
_atom_site_occupancy
Ta1 Ta 0.000 0.000 0.247 1
Fe1 Fe 0.000 0.500 0.500 1
Tc1 Tc 0.000 0.500 0.000 1
```

Properties
Total DFT energy (no corrections) (eV per atom): -11.3849
Energy of formation from the pure elements (eV/atom): -0.052
D(E_F) (states/eV/atom): 0.7359

Below is an optimized crystal structure of TaFeTc, with properties calculated at the GGA-PBEsol level.

```
data_TaFeTc
_cell_length_a 5.814
_cell_length_b 5.814
_cell_length_c 5.814
_cell_angle_alpha 90.00
_cell_angle_beta 90.00
_cell_angle_gamma 90.00
_space_group_name_H-M_alt 'F -4 3 m'
_space_group_IT_number 216
_space_group_name_Hall 'F -4 2 3'
loop_
_atom_site_label
_atom_site_type_symbol
_atom_site_fract_x
_atom_site_fract_y
_atom_site_fract_z
_atom_site_occupancy
Ta1 Ta 0.000 0.000 0.000 1
Fe1 Fe 0.000 0.000 0.500 1
Tc1 Tc 0.250 0.250 0.250 1
```

Properties
Total DFT energy (no corrections) (eV per atom): -10.1564
Energy of formation from the pure elements (eV/atom): 0.771
D(E_F) (states/eV/atom): 1.0395

Below is an optimized crystal structure of TaFeTc2, with properties calculated at the GGA-PBEsol level.

```
data_TaFeTc2
_cell_length_a 3.096
_cell_length_b 3.096
_cell_length_c 5.938
_cell_angle_alpha 90.00
_cell_angle_beta 90.00
_cell_angle_gamma 90.00
_space_group_name_H-M_alt 'P 4/m m m'
_space_group_IT_number 123
_space_group_name_Hall '-P 4 2'
loop_
_atom_site_label
_atom_site_type_symbol
_atom_site_fract_x
_atom_site_fract_y
_atom_site_fract_z
_atom_site_occupancy
Ta1 Ta 0.000 0.000 0.000 1
Fe1 Fe 0.000 0.000 0.500 1
Tc1 Tc 0.500 0.500 0.265 1
```

Properties
Total DFT energy (no corrections) (eV per atom): -11.0612
Energy of formation from the pure elements (eV/atom): -0.049
D(E_F) (states/eV/atom): 0.8087

Below is an optimized crystal structure of Ta2FeTc, with properties calculated at the GGA-PBEsol level.

```
data_Ta2FeTc
_cell_length_a 2.755
_cell_length_b 4.401
_cell_length_c 5.046
_cell_angle_alpha 90.00
_cell_angle_beta 100.55
_cell_angle_gamma 90.00
_space_group_name_H-M_alt 'P 1 m 1'
_space_group_IT_number 6
loop_
_space_group_symop_operation_xyz
'x,y,z'
'x,-y,z'
loop_
_atom_site_label
_atom_site_type_symbol
_atom_site_fract_x
_atom_site_fract_y
_atom_site_fract_z
_atom_site_occupancy
Ta1 Ta 0.000 0.000 0.000 1
Ta2 Ta 0.270 0.500 0.713 1
Fe1 Fe 0.510 0.000 0.500 1
Tc1 Tc 0.753 0.500 0.220 1
```

Properties
Total DFT energy (no corrections) (eV per atom): -11.3610
Energy of formation from the pure elements (eV/atom): -0.028
D(E_F) (states/eV/atom): 0.7924

Below is an optimized crystal structure of TaFeTc2, with properties calculated at the GGA-PBEsol level.

```
data_TaFeTc2
_cell_length_a 5.256
_cell_length_b 8.644
_cell_length_c 2.676
_cell_angle_alpha 90.00
_cell_angle_beta 110.79
_cell_angle_gamma 90.00
_space_group_name_H-M_alt 'C 1 2/m 1'
_space_group_IT_number 12
loop_
_space_group_symop_operation_xyz
'x,y,z'
'-x,-y,-z'
'-x,y,-z'
'x,-y,z'
'x+1/2,y+1/2,z'
'-x+1/2,-y+1/2,-z'
'-x+1/2,y+1/2,-z'
'x+1/2,-y+1/2,z'
loop_
_atom_site_label
_atom_site_type_symbol
_atom_site_fract_x
_atom_site_fract_y
_atom_site_fract_z
_atom_site_occupancy
Ta1 Ta 0.000 0.000 0.000 1
Fe1 Fe 0.000 0.500 0.000 1
Tc1 Tc 0.250 0.250 0.500 1
```

Properties
Total DFT energy (no corrections) (eV per atom): -10.9824
Energy of formation from the pure elements (eV/atom): 0.029
D(E_F) (states/eV/atom): 0.8398

Below is an optimized crystal structure of TaFeTe, with properties calculated at the GGA-PBEsol level.

```
data_TaFeTe
_cell_length_a 4.1717
_cell_length_b 4.1717
_cell_length_c 3.2531
_cell_angle_alpha 90.00
_cell_angle_beta 90.00
_cell_angle_gamma 120.00
_space_group_name_H-M_alt 'P 3 m 1'
_space_group_IT_number 156
loop_
_space_group_symop_operation_xyz
'x,y,z'
'-y,x-y,z'
'-x+y,-x,z'
'-y,-x,z'
'-x+y,y,z'
'x,x-y,z'
loop_
_atom_site_label
_atom_site_type_symbol
_atom_site_fract_x
_atom_site_fract_y
_atom_site_fract_z
_atom_site_occupancy
Ta1 Ta 0.0000 0.0000 0.0000 1
Fe1 Fe 0.6667 0.3333 0.5993 1
Te1 Te 0.3333 0.6667 0.4952 1
```

Properties
Total DFT energy (no corrections) (eV per atom): -8.1027
Formation energy (no corrections) (eV per atom): 0.2442
D(E_F) (states/eV/atom): 0.6392

> Which value of D(E_F) does entry 11 give?

0.8398 states/eV/atom

> Number 6 is which compound?

Ta2FeTc

> Which formula does entry 7 have?

Ta2FeTc

> Which of these has the highest total DFT energy (no corrections)?

TaFeTe